Entry 1:
## VCd2GaAs (PBE-GGA)

Data for a geometry-optimized VCd2GaAs structure. Values from VASP.

Values from the calculation:
- calculated formation energy (eV/atom) = 0.969
- space-group type = No. 123

Cell and atoms, written as Quantum ESPRESSO input:
```
&SYSTEM
  ibrav = 0, nat = 5, ntyp = 4
/
ATOMIC_SPECIES
V 50.94 V.upf
Cd 112.41 Cd.upf
Ga 69.72 Ga.upf
As 74.92 As.upf
ATOMIC_POSITIONS crystal
V 0.000 0.000 0.000
Cd 0.000 0.500 0.000
Cd 0.500 0.000 0.000
Ga 0.000 0.000 0.500
As 0.500 0.500 0.500
CELL_PARAMETERS angstrom
5.157 0.000 0.000
0.000 5.157 0.000
0.000 0.000 4.817
```

=====

Entry 2:
## PuThOs (PBE-GGA)

Data for a geometry-optimized PuThOs structure. Values from VASP.

Values from the calculation:
- ΔE to the lowest computed polymorph (meV per atom) = 140.1
- calculated formation energy (eV/atom) = -0.020
- space-group type = No. 216

Cell and atoms, written as Quantum ESPRESSO input:
```
&SYSTEM
  ibrav = 0, nat = 3, ntyp = 3
/
ATOMIC_SPECIES
Pu 244.00 Pu.upf
Th 232.04 Th.upf
Os 190.23 Os.upf
ATOMIC_POSITIONS crystal
Pu 0.000 0.000 0.000
Th 0.500 0.500 0.500
Os 0.750 0.750 0.750
CELL_PARAMETERS angstrom
0.000 3.430 3.430
3.430 0.000 3.430
3.430 3.430 0.000
```

=====

Entry 3:
## Na6LiSb2 (PBE-GGA)

Data for a geometry-optimized Na6LiSb2 structure. Values from VASP.

Values from the calculation:
- ΔE_f (raw) (kJ/mol of formula units) = -303
- space-group type = No. 166

Cell and atoms, written as Quantum ESPRESSO input:
```
&SYSTEM
  ibrav = 0, nat = 9, ntyp = 3
/
ATOMIC_SPECIES
Na 22.99 Na.upf
Li 6.94 Li.upf
Sb 121.76 Sb.upf
ATOMIC_POSITIONS crystal
Na 0.080 0.080 0.080
Na 0.206 0.206 0.206
Na 0.309 0.309 0.309
Na 0.691 0.691 0.691
Na 0.794 0.794 0.794
Na 0.920 0.920 0.920
Li 0.500 0.500 0.500
Sb 0.411 0.411 0.411
Sb 0.589 0.589 0.589
CELL_PARAMETERS angstrom
2.695 1.556 10.359
-2.695 1.556 10.359
0.000 -3.112 10.359
```

=====

Entry 4:
## Nd4Tm7Sc (PBE-GGA)

Data for a geometry-optimized Nd4Tm7Sc structure. Values from VASP.

Values from the calculation:
- calculated formation energy (eV/atom) = 0.201
- space-group type = No. 12

Cell and atoms, written as Quantum ESPRESSO input:
```
&SYSTEM
  ibrav = 0, nat = 12, ntyp = 3
/
ATOMIC_SPECIES
Nd 144.24 Nd.upf
Tm 168.93 Tm.upf
Sc 44.96 Sc.upf
ATOMIC_POSITIONS crystal
Nd 0.040 0.040 0.283
Nd 0.322 0.322 0.239
Nd 0.678 0.678 0.761
Nd 0.960 0.960 0.717
Tm 0.137 0.137 0.966
Tm 0.266 0.266 0.599
Tm 0.410 0.410 0.872
Tm 0.500 0.500 0.500
Tm 0.590 0.590 0.128
Tm 0.734 0.734 0.401
Tm 0.863 0.863 0.034
Sc 0.000 0.000 0.500
CELL_PARAMETERS angstrom
5.705 -2.647 0.000
5.705 2.647 0.000
-3.244 0.000 12.603
```

=====

Entry 5:
## Mg2AsH (PBE-GGA)

Data for a geometry-optimized Mg2AsH structure. Values from VASP.

Values from the calculation:
- ΔE to the lowest computed polymorph (meV per atom) = 0.0
- space-group type = No. 11

Cell and atoms, written as Quantum ESPRESSO input:
```
&SYSTEM
  ibrav = 0, nat = 8, ntyp = 3
/
ATOMIC_SPECIES
Mg 24.30 Mg.upf
As 74.92 As.upf
H 1.01 H.upf
ATOMIC_POSITIONS crystal
Mg 0.150 0.250 0.162
Mg 0.249 0.750 0.575
Mg 0.751 0.250 0.425
Mg 0.850 0.750 0.838
As 0.112 0.250 0.770
As 0.888 0.750 0.230
H 0.419 0.250 0.379
H 0.581 0.750 0.621
CELL_PARAMETERS angstrom
5.730 0.000 0.000
0.000 4.177 0.000
-1.787 0.000 6.610
```

=====

Entry 6:
## La3Tb2Sm6Tm (PBE-GGA)

Data for a geometry-optimized La3Tb2Sm6Tm structure. Values from VASP.

Values from the calculation:
- calculated formation energy (eV/atom) = 0.021
- space-group type = No. 12

Cell and atoms, written as Quantum ESPRESSO input:
```
&SYSTEM
  ibrav = 0, nat = 12, ntyp = 4
/
ATOMIC_SPECIES
La 138.91 La.upf
Tb 158.93 Tb.upf
Sm 150.36 Sm.upf
Tm 168.93 Tm.upf
ATOMIC_POSITIONS crystal
La 0.000 0.000 0.000
La 0.333 0.667 0.000
La 0.667 0.333 0.000
Tb 0.167 0.833 0.500
Tb 0.833 0.167 0.500
Sm 0.086 0.419 0.256
Sm 0.248 0.248 0.744
Sm 0.419 0.086 0.256
Sm 0.581 0.914 0.744
Sm 0.752 0.752 0.256
Sm 0.914 0.581 0.744
Tm 0.500 0.500 0.500
CELL_PARAMETERS angstrom
3.149 -5.458 0.000
3.149 5.458 0.000
-2.110 0.000 11.881
```

=====

Entry 7:
## SrLaAl (PBE-GGA)

Data for a geometry-optimized SrLaAl structure. Values from VASP.

Values from the calculation:
- ΔE to the lowest computed polymorph (meV per atom) = 172.9
- calculated formation energy (eV/atom) = -0.033
- space-group type = No. 1

Cell and atoms, written as Quantum ESPRESSO input:
```
&SYSTEM
  ibrav = 0, nat = 6, ntyp = 3
/
ATOMIC_SPECIES
Sr 87.62 Sr.upf
La 138.91 La.upf
Al 26.98 Al.upf
ATOMIC_POSITIONS crystal
Sr 0.000 0.000 0.000
Sr 0.370 0.370 0.740
La 0.138 0.137 0.278
La 0.237 0.731 0.468
Al 0.586 0.585 0.171
Al 0.757 0.253 0.512
CELL_PARAMETERS angstrom
3.719 0.000 0.000
0.000 4.881 0.000
-1.836 -2.429 12.093
```

=====

Entry 8:
## LaZr2Br (PBE-GGA)

Data for a geometry-optimized LaZr2Br structure. Values from VASP.

Values from the calculation:
- ΔE_f (raw) (kJ/mol of formula units) = -103
- ΔE to the lowest computed polymorph (meV per atom) = 0.0
- space-group type = No. 35

Cell and atoms, written as Quantum ESPRESSO input:
```
&SYSTEM
  ibrav = 0, nat = 4, ntyp = 3
/
ATOMIC_SPECIES
La 138.91 La.upf
Zr 91.22 Zr.upf
Br 79.90 Br.upf
ATOMIC_POSITIONS crystal
La 0.000 0.000 0.000
Zr 0.000 0.000 0.492
Zr 0.500 0.500 0.270
Br 0.500 0.500 0.724
CELL_PARAMETERS angstrom
2.185 -2.574 0.000
2.185 2.574 0.000
0.000 0.000 9.332
```

=====

Entry 9:
## CdCuRe2 (PBE-GGA)

Data for a geometry-optimized CdCuRe2 structure. Values from VASP.

Values from the calculation:
- calculated formation energy (eV/atom) = 0.363
- space-group type = No. 35

Cell and atoms, written as Quantum ESPRESSO input:
```
&SYSTEM
  ibrav = 0, nat = 4, ntyp = 3
/
ATOMIC_SPECIES
Cd 112.41 Cd.upf
Cu 63.55 Cu.upf
Re 186.21 Re.upf
ATOMIC_POSITIONS crystal
Cd 0.000 0.000 0.000
Cu 0.500 0.500 0.748
Re 0.000 0.000 0.512
Re 0.500 0.500 0.281
CELL_PARAMETERS angstrom
1.475 -2.294 0.000
1.475 2.294 0.000
0.000 0.000 9.354
```

=====

Entry 10:
## HfInGe3 (PBE-GGA)

Data for a geometry-optimized HfInGe3 structure. Values from VASP.

Values from the calculation:
- ΔE to the lowest computed polymorph (meV per atom) = 798.6
- calculated formation energy (eV/atom) = 1.118
- space-group type = No. 221

Cell and atoms, written as Quantum ESPRESSO input:
```
&SYSTEM
  ibrav = 0, nat = 5, ntyp = 3
/
ATOMIC_SPECIES
Hf 178.49 Hf.upf
In 114.82 In.upf
Ge 72.64 Ge.upf
ATOMIC_POSITIONS crystal
Hf 0.000 0.000 0.000
In 0.500 0.500 0.500
Ge 0.000 0.500 0.500
Ge 0.500 0.000 0.500
Ge 0.500 0.500 0.000
CELL_PARAMETERS angstrom
5.091 0.000 0.000
0.000 5.091 0.000
0.000 0.000 5.091
```

=====

Entry 11:
## Cu2I2Cl (PBE-GGA)

Data for a geometry-optimized Cu2I2Cl structure. Values from VASP.

Values from the calculation:
- ΔE_f (raw) (kJ/mol of formula units) = -78
- ΔE to the lowest computed polymorph (meV per atom) = 106.0
- space-group type = No. 2

Cell and atoms, written as Quantum ESPRESSO input:
```
&SYSTEM
  ibrav = 0, nat = 10, ntyp = 3
/
ATOMIC_SPECIES
Cu 63.55 Cu.upf
I 126.90 I.upf
Cl 35.45 Cl.upf
ATOMIC_POSITIONS crystal
Cu 0.141 0.001 0.142
Cu 0.291 0.495 0.853
Cu 0.709 0.505 0.147
Cu 0.859 0.999 0.858
I 0.217 0.750 0.561
I 0.452 0.250 0.108
I 0.548 0.750 0.892
I 0.783 0.250 0.439
Cl 0.079 0.252 0.849
Cl 0.921 0.748 0.151
CELL_PARAMETERS angstrom
6.605 0.000 0.000
2.137 6.356 0.000
3.261 -0.008 6.317
```

=====

Entry 12:
## DyInNi5 (PBE-GGA)

Data for a geometry-optimized DyInNi5 structure. Values from VASP.

Values from the calculation:
- calculated formation energy (eV/atom) = -0.330
- space-group type = No. 62

Cell and atoms, written as Quantum ESPRESSO input:
```
&SYSTEM
  ibrav = 0, nat = 28, ntyp = 3
/
ATOMIC_SPECIES
Dy 162.50 Dy.upf
In 114.82 In.upf
Ni 58.69 Ni.upf
ATOMIC_POSITIONS crystal
Dy 0.249 0.250 0.061
Dy 0.251 0.750 0.561
Dy 0.749 0.250 0.439
Dy 0.751 0.750 0.939
In 0.138 0.250 0.363
In 0.362 0.750 0.863
In 0.638 0.250 0.137
In 0.862 0.750 0.637
Ni 0.047 0.250 0.605
Ni 0.067 0.501 0.811
Ni 0.067 0.999 0.811
Ni 0.083 0.750 0.017
Ni 0.189 0.750 0.241
Ni 0.311 0.250 0.741
Ni 0.417 0.250 0.517
Ni 0.433 0.001 0.311
Ni 0.433 0.499 0.311
Ni 0.453 0.750 0.105
Ni 0.547 0.250 0.895
Ni 0.567 0.501 0.689
Ni 0.567 0.999 0.689
Ni 0.583 0.750 0.483
Ni 0.689 0.750 0.259
Ni 0.811 0.250 0.759
Ni 0.917 0.250 0.983
Ni 0.933 0.001 0.189
Ni 0.933 0.499 0.189
Ni 0.953 0.750 0.395
CELL_PARAMETERS angstrom
8.079 0.000 0.000
0.000 4.839 0.000
0.000 0.000 10.309
```

=====

Entry 13:
## Sr2Al (PBE-GGA)

Data for a geometry-optimized Sr2Al structure. Values from VASP.

Values from the calculation:
- calculated formation energy (eV/atom) = -0.021
- space-group type = No. 15

Cell and atoms, written as Quantum ESPRESSO input:
```
&SYSTEM
  ibrav = 0, nat = 12, ntyp = 2
/
ATOMIC_SPECIES
Sr 87.62 Sr.upf
Al 26.98 Al.upf
ATOMIC_POSITIONS crystal
Sr 0.061 0.763 0.874
Sr 0.237 0.939 0.626
Sr 0.302 0.362 0.086
Sr 0.362 0.302 0.586
Sr 0.638 0.698 0.414
Sr 0.698 0.638 0.914
Sr 0.763 0.061 0.374
Sr 0.939 0.237 0.126
Al 0.025 0.623 0.382
Al 0.377 0.975 0.118
Al 0.623 0.025 0.882
Al 0.975 0.377 0.618
CELL_PARAMETERS angstrom
7.462 -4.783 0.000
7.462 4.783 0.000
-3.969 0.000 6.743
```

=====

Entry 14:
## Li2CaI4 (PBE-GGA)

Data for a geometry-optimized Li2CaI4 structure. Values from VASP.

Values from the calculation:
- ΔE_f (raw) (kJ/mol of formula units) = -923
- ΔE to the lowest computed polymorph (meV per atom) = 0.0
- space-group type = No. 12

Cell and atoms, written as Quantum ESPRESSO input:
```
&SYSTEM
  ibrav = 0, nat = 7, ntyp = 3
/
ATOMIC_SPECIES
Li 6.94 Li.upf
Ca 40.08 Ca.upf
I 126.90 I.upf
ATOMIC_POSITIONS crystal
Li 0.176 0.176 0.085
Li 0.824 0.824 0.915
Ca 0.500 0.500 0.500
I 0.119 0.119 0.395
I 0.369 0.369 0.114
I 0.631 0.631 0.886
I 0.881 0.881 0.605
CELL_PARAMETERS angstrom
7.485 -2.318 0.000
7.485 2.318 0.000
-1.775 0.000 7.637
```

=====

Entry 15:
## LiCdRh2 (PBE-GGA)

Data for a geometry-optimized LiCdRh2 structure. Values from VASP.

Values from the calculation:
- calculated formation energy (eV/atom) = -0.060
- space-group type = No. 12

Cell and atoms, written as Quantum ESPRESSO input:
```
&SYSTEM
  ibrav = 0, nat = 4, ntyp = 3
/
ATOMIC_SPECIES
Li 6.94 Li.upf
Cd 112.41 Cd.upf
Rh 102.91 Rh.upf
ATOMIC_POSITIONS crystal
Li 0.000 0.000 0.000
Cd 0.500 0.500 0.000
Rh 0.000 0.500 0.500
Rh 0.500 0.000 0.500
CELL_PARAMETERS angstrom
2.701 -4.586 0.000
2.701 4.586 0.000
-1.257 0.000 2.478
```

=====

Entry 16:
## Tb4DyHg4 (PBE-GGA)

Data for a geometry-optimized Tb4DyHg4 structure. Values from VASP.

Values from the calculation:
- calculated formation energy (eV/atom) = -0.267
- space-group type = No. 87

Cell and atoms, written as Quantum ESPRESSO input:
```
&SYSTEM
  ibrav = 0, nat = 9, ntyp = 3
/
ATOMIC_SPECIES
Tb 158.93 Tb.upf
Dy 162.50 Dy.upf
Hg 200.59 Hg.upf
ATOMIC_POSITIONS crystal
Tb 0.120 0.235 0.355
Tb 0.235 0.880 0.115
Tb 0.765 0.120 0.885
Tb 0.880 0.765 0.645
Dy 0.500 0.500 0.000
Hg 0.158 0.556 0.715
Hg 0.444 0.158 0.602
Hg 0.556 0.842 0.398
Hg 0.842 0.444 0.285
CELL_PARAMETERS angstrom
-4.726 4.726 2.831
4.726 -4.726 2.831
4.726 4.726 -2.831
```

=====

Entry 17:
## CePaFe10 (PBE-GGA)

Data for a geometry-optimized CePaFe10 structure. Values from VASP.

Values from the calculation:
- calculated formation energy (eV/atom) = -0.040
- space-group type = No. 47

Cell and atoms, written as Quantum ESPRESSO input:
```
&SYSTEM
  ibrav = 0, nat = 12, ntyp = 3
/
ATOMIC_SPECIES
Ce 140.12 Ce.upf
Pa 231.04 Pa.upf
Fe 55.84 Fe.upf
ATOMIC_POSITIONS crystal
Ce 0.000 0.000 0.000
Pa 0.000 0.500 0.500
Fe 0.000 0.000 0.336
Fe 0.000 0.000 0.664
Fe 0.000 0.500 0.170
Fe 0.000 0.500 0.830
Fe 0.500 0.000 0.500
Fe 0.500 0.252 0.253
Fe 0.500 0.252 0.747
Fe 0.500 0.500 0.000
Fe 0.500 0.748 0.253
Fe 0.500 0.748 0.747
CELL_PARAMETERS angstrom
4.053 0.000 0.000
0.000 4.952 0.000
0.000 0.000 8.583
```

=====

no.,total DFT energy (no corrections) (eV/atom)
1,-2.756
2,-11.014
3,-2.357
4,-4.524
5,-3.212
6,-4.714
7,-3.483
8,-6.192
9,-7.114
10,-4.190
11,-2.789
12,-5.508
13,-2.390
14,-3.085
15,-4.443
16,-2.970
17,-8.378